1.
## AcGdGaAg (PBE)

Data for crystalline AcGdGaAg at its relaxed geometry.

Values from the calculation:
formation enthalpy at 0 K: -144 kJ/mol of formula units
total energy: -0.23479 hartree per atom
crystal system: cubic

Lattice parameters (Å, degrees): 7.6216 7.6216 7.6216 90.00 90.00 90.00
Space group F-43m (No. 216)
Unique sites:
Ac: 0.0000 0.0000 0.0000 (multiplicity 4)
Gd: 0.0000 0.0000 0.5000 (multiplicity 4)
Ga: 0.2500 0.2500 0.7500 (multiplicity 4)
Ag: 0.2500 0.2500 0.2500 (multiplicity 4)

***

2.
## AcGaAgGe (PBE)

Data for crystalline AcGaAgGe at its relaxed geometry.

Values from the calculation:
formation enthalpy at 0 K: -76 kJ/mol of formula units
total energy: -0.14144 hartree per atom
crystal system: cubic

Lattice parameters (Å, degrees): 7.2890 7.2890 7.2890 90.00 90.00 90.00
Space group F-43m (No. 216)
Unique sites:
Ac: 0.0000 0.0000 0.0000 (multiplicity 4)
Ga: 0.2500 0.2500 0.2500 (multiplicity 4)
Ag: 0.2500 0.2500 0.7500 (multiplicity 4)
Ge: 0.0000 0.0000 0.5000 (multiplicity 4)

***

3.
## Ac2GaAg4Ge3 (PBE)

Data for crystalline Ac2GaAg4Ge3 at its relaxed geometry.

Values from the calculation:
formation enthalpy at 0 K: -386 kJ/mol of formula units
total energy: -0.14886 hartree per atom
crystal system: tetragonal

Lattice parameters (Å, degrees): 4.5258 4.5258 11.0081 90.00 90.00 90.00
Space group P-4m2 (No. 115)
Unique sites:
Ac: 0.0000 0.5000 0.2478 (multiplicity 2)
Ga: 0.0000 0.0000 0.5000 (multiplicity 1)
Ag: 0.0000 0.0000 0.0000 (multiplicity 1)
Ag: 0.0000 0.5000 0.6296 (multiplicity 2)
Ag: 0.5000 0.5000 0.0000 (multiplicity 1)
Ge: 0.0000 0.5000 0.8652 (multiplicity 2)
Ge: 0.5000 0.5000 0.5000 (multiplicity 1)

***

4.
## AcGaAg2Ge (PBE)

Data for crystalline AcGaAg2Ge at its relaxed geometry.

Values from the calculation:
formation enthalpy at 0 K: -184 kJ/mol of formula units
total energy: -0.14233 hartree per atom
crystal system: orthorhombic

Lattice parameters (Å, degrees): 4.3216 4.5121 11.6539 90.00 90.00 90.00
Space group Imm2 (No. 44)
Unique sites:
Ac: 0.0000 0.0000 0.0000 (multiplicity 2)
Ga: 0.0000 0.5000 0.7492 (multiplicity 2)
Ag: 0.0000 0.0000 0.6186 (multiplicity 2)
Ag: 0.0000 0.5000 0.2695 (multiplicity 2)
Ge: 0.0000 0.0000 0.3933 (multiplicity 2)

***

5.
## AcGa2AgGe (PBE)

Data for crystalline AcGa2AgGe at its relaxed geometry.

Values from the calculation:
formation enthalpy at 0 K: -216 kJ/mol of formula units
total energy: -0.14604 hartree per atom
crystal system: orthorhombic

Lattice parameters (Å, degrees): 4.5253 4.6128 10.6565 90.00 90.00 90.00
Space group Imm2 (No. 44)
Unique sites:
Ac: 0.0000 0.0000 0.0000 (multiplicity 2)
Ga: 0.0000 0.0000 0.6257 (multiplicity 2)
Ga: 0.0000 0.5000 0.2532 (multiplicity 2)
Ag: 0.0000 0.5000 0.7501 (multiplicity 2)
Ge: 0.0000 0.0000 0.3878 (multiplicity 2)

***

6.
## Ac2Ga4AgGe3 (PBE)

Data for crystalline Ac2Ga4AgGe3 at its relaxed geometry.

Values from the calculation:
formation enthalpy at 0 K: -374 kJ/mol of formula units
total energy: -0.15031 hartree per atom
crystal system: tetragonal

Lattice parameters (Å, degrees): 4.7918 4.7918 9.8535 90.00 90.00 90.00
Space group P-4m2 (No. 115)
Unique sites:
Ac: 0.0000 0.5000 0.2455 (multiplicity 2)
Ga: 0.0000 0.0000 0.5000 (multiplicity 1)
Ga: 0.0000 0.5000 0.8752 (multiplicity 2)
Ga: 0.5000 0.5000 0.5000 (multiplicity 1)
Ag: 0.5000 0.5000 0.0000 (multiplicity 1)
Ge: 0.0000 0.0000 0.0000 (multiplicity 1)
Ge: 0.0000 0.5000 0.6158 (multiplicity 2)